# LiSm3Se4

A geometry-optimized LiSm3Se4 structure (PBE, Alexandria).

The structure belongs to space group Pm-3m (No. 221); the cell edges are 5.859, 5.859 and 5.859 Å and the angles 90.00°, 90.00° and 90.00°. The inequivalent atoms are Li at (0.000, 0.000, 0.000), Sm at (0.000, 0.500, 0.500), Se at (0.000, 0.000, 0.500) and Se at (0.500, 0.500, 0.500).

For the energy above the most stable polymorph in this dataset, the calculation gives 0 meV per atom. As for the formation energy (no corrections): -1.778 eV/atom.